Compound: Pu2HfNpP4
Source: Alexandria
Functional: PBE
Structure: relaxed

Geometry as POSCAR:
```
Pu2HfNpP4
1.0
3.905 0.000 0.000
0.000 6.725 0.113
0.000 -2.353 6.341
Pu Hf Np P
2 1 1 4
Cartesian
1.953 -1.176 3.171
0.000 2.186 3.227
0.000 0.000 0.000
1.953 3.363 0.057
1.953 1.061 1.523
1.953 3.311 4.932
0.000 -0.139 4.847
0.000 4.511 1.608
```

Summary:
Space group: P2/m (10)
N(E_F) in states/eV/atom: 3.193
Formation energy from the elements in eV/atom: -1.13
Electronic total energy in eV/atom: -10.28
Volume in Å³ per cell: 168